# Li7Mn2Co3O12

A relaxed structure of Li7Mn2Co3O12 (GGA+U, Alexandria).

Structure (POSCAR):
```
Li7Mn2Co3O12
1.0
2.8633 -0.0353 -0.0258
0.0296 4.9880 -0.0008
0.0771 0.1134 14.4262
Li Mn Co O
7 2 3 12
Cartesian
2.9257 3.2429 12.3003 Li
1.4974 2.5259 7.0575 Li
0.0236 1.7927 2.3170 Li
1.4980 0.8814 12.1381 Li
0.0576 0.0892 7.0444 Li
1.4717 4.1982 2.3914 Li
1.4413 2.4566 0.0338 Li
2.8888 4.9423 0.0072 Mn
1.5011 4.1958 9.5773 Mn
0.0523 3.3919 4.8008 Co
2.9205 1.6869 9.5531 Co
1.4689 0.8811 4.7894 Co
1.5154 4.2826 13.3524 O
0.1239 3.3500 8.5045 O
1.4675 2.5362 3.7831 O
0.0812 1.6148 13.2949 O
1.4658 0.9026 8.5140 O
0.0212 0.0693 3.8084 O
1.5125 2.5007 10.6046 O
0.0524 1.7332 5.8448 O
1.4454 0.7510 1.0838 O
2.8514 0.0626 10.6079 O
1.5015 4.2063 5.8355 O
2.8851 3.4321 1.1517 O
```

Total energy ... -0.4312 Ry per atom
ρ ... 4.25 g/cm3